(1)
Compound: Ce6Cd2HN
Source: Alexandria via LeMat-Bulk
Functional: PBE
Structure: optimized geometry

The value obtained for the density of states at the Fermi level is 100.74 states/eV/cell. The value obtained for the energy is -0.391 Ry/atom.

The structure belongs to space group Fm-3m (No. 225); the cell edges are 9.852, 9.852 and 9.852 Å and the angles 90.00°, 90.00° and 90.00°. The distinct sites, in fractional coordinates, are Ce at (0.000, 0.000, 0.245), Cd at (0.250, 0.250, 0.250), H at (0.000, 0.000, 0.500) and N at (0.000, 0.000, 0.000).

***

(2)
Compound: CeCdNi2H8
Source: Alexandria via LeMat-Bulk
Functional: PBE
Structure: optimized geometry

The value obtained for the density of states at the Fermi level is 19.40 states/eV/cell. The value obtained for the energy is -0.279 Ry/atom.

The structure belongs to space group R-3 (No. 148, hexagonal axes); the cell edges are 4.5963, 4.5963 and 17.9768 Å and the angles 90.00°, 90.00° and 120.00°. The distinct sites, in fractional coordinates, are Ce at (0.0000, 0.0000, 0.0000), Cd at (0.0000, 0.0000, 0.5000), Ni at (0.0000, 0.0000, 0.2381), H at (0.0000, 0.0000, 0.3237) and H at (0.0173, 0.7098, 0.8985).

***

(3)
Compound: Ce6Cd2HO
Source: Alexandria via LeMat-Bulk
Functional: PBE
Structure: optimized geometry

The value obtained for the density of states at the Fermi level is 88.83 states/eV/cell. The value obtained for the energy is -0.384 Ry/atom.

The structure belongs to space group Fm-3m (No. 225); the cell edges are 9.841, 9.841 and 9.841 Å and the angles 90.00°, 90.00° and 90.00°. The distinct sites, in fractional coordinates, are Ce at (0.000, 0.000, 0.248), Cd at (0.250, 0.250, 0.250), H at (0.000, 0.000, 0.500) and O at (0.000, 0.000, 0.000).

***

(4)
Compound: Ce6Cd2HOs
Source: Alexandria via LeMat-Bulk
Functional: PBE
Structure: optimized geometry

The value obtained for the density of states at the Fermi level is 21.56 states/eV/cell. The value obtained for the energy is -0.389 Ry/atom.

The structure belongs to space group P-1 (No. 2); the cell edges are 6.778, 6.784 and 6.796 Å and the angles 64.46°, 66.04° and 66.34°. The distinct sites, in fractional coordinates, are Ce at (0.171, 0.278, 0.221), Ce at (0.272, 0.822, 0.219), Ce at (0.282, 0.738, 0.671), Cd at (0.226, 0.240, 0.718), H at (0.000, 0.000, 0.500) and Os at (0.500, 0.500, 0.000).

***

(5)
Compound: Ce6PuCd2H
Source: Alexandria via LeMat-Bulk
Functional: PBE
Structure: optimized geometry

The value obtained for the density of states at the Fermi level is 90.16 states/eV/cell. The value obtained for the energy is -0.423 Ry/atom.

The structure belongs to space group Fmmm (No. 69); the cell edges are 10.011, 10.019 and 10.056 Å and the angles 90.00°, 90.00° and 90.00°. The distinct sites, in fractional coordinates, are Ce at (0.000, 0.000, 0.243), Ce at (0.000, 0.244, 0.000), Ce at (0.244, 0.000, 0.000), Pu at (0.000, 0.000, 0.000), Cd at (0.250, 0.250, 0.250) and H at (0.000, 0.000, 0.500).

***

(6)
Compound: CeCdH6Ru
Source: Alexandria via LeMat-Bulk
Functional: PBE
Structure: optimized geometry

The value obtained for the density of states at the Fermi level is 7.82 states/eV/cell. The value obtained for the energy is -0.309 Ry/atom.

The structure belongs to space group P-6m2 (No. 187); the cell edges are 4.8014, 4.8014 and 4.5125 Å and the angles 90.00°, 90.00° and 120.00°. The distinct sites, in fractional coordinates, are Ce at (0.0000, 0.0000, 0.0000), Cd at (0.3333, 0.6667, 0.5000), H at (0.5258, 0.0517, 0.2185) and Ru at (0.6667, 0.3333, 0.5000).

***

(7)
Compound: CeCdTcH6
Source: Alexandria via LeMat-Bulk
Functional: PBE
Structure: optimized geometry

The value obtained for the density of states at the Fermi level is 5.45 states/eV/cell. The value obtained for the energy is -0.314 Ry/atom.

The structure belongs to space group P-6m2 (No. 187); the cell edges are 4.8121, 4.8121 and 4.5295 Å and the angles 90.00°, 90.00° and 120.00°. The distinct sites, in fractional coordinates, are Ce at (0.0000, 0.0000, 0.0000), Cd at (0.6667, 0.3333, 0.5000), Tc at (0.3333, 0.6667, 0.5000) and H at (0.0512, 0.5256, 0.2116).

***

(8)
Compound: CeHf2Cd
Source: Alexandria via LeMat-Bulk
Functional: PBE
Structure: optimized geometry

The value obtained for the density of states at the Fermi level is 16.20 states/eV/cell. The value obtained for the energy is -0.474 Ry/atom. The energy relative to the lowest polymorph listed for this composition is 15.07 kJ/mol of atoms.

The structure belongs to space group R-3m (No. 166, hexagonal axes); the cell edges are 3.0584, 3.0584 and 34.1212 Å and the angles 90.00°, 90.00° and 120.00°. The distinct sites, in fractional coordinates, are Ce at (0.0000, 0.0000, 0.0000), Hf at (0.0000, 0.0000, 0.0900) and Cd at (0.0000, 0.0000, 0.5000).

***

(9)
Compound: CeHfCd2
Source: Alexandria via LeMat-Bulk
Functional: PBE
Structure: optimized geometry

The value obtained for the density of states at the Fermi level is 7.03 states/eV/cell. The value obtained for the energy is -0.331 Ry/atom. The energy relative to the lowest polymorph listed for this composition is 0.00 kJ/mol of atoms.

The structure belongs to space group P4/mmm (No. 123); the cell edges are 3.140, 3.140 and 9.338 Å and the angles 90.00°, 90.00° and 90.00°. The distinct sites, in fractional coordinates, are Ce at (0.000, 0.000, 0.000), Hf at (0.000, 0.000, 0.500) and Cd at (0.500, 0.500, 0.269).

***

(10)
Compound: Ce2HfCd
Source: Alexandria via LeMat-Bulk
Functional: PBE
Structure: optimized geometry

The value obtained for the density of states at the Fermi level is 9.03 states/eV/cell. The value obtained for the energy is -0.413 Ry/atom. The energy relative to the lowest polymorph listed for this composition is 7.58 kJ/mol of atoms.

The structure belongs to space group P4/mmm (No. 123); the cell edges are 4.433, 4.433 and 5.008 Å and the angles 90.00°, 90.00° and 90.00°. The distinct sites, in fractional coordinates, are Ce at (0.000, 0.500, 0.000), Hf at (0.000, 0.000, 0.500) and Cd at (0.500, 0.500, 0.500).

***

(11)
Compound: CeHfCd
Source: Alexandria via LeMat-Bulk
Functional: PBE
Structure: optimized geometry

The value obtained for the density of states at the Fermi level is 6.02 states/eV/cell. The value obtained for the energy is -0.395 Ry/atom. The energy relative to the lowest polymorph listed for this composition is 23.20 kJ/mol of atoms.

The structure belongs to space group P-6m2 (No. 187); the cell edges are 5.2170, 5.2170 and 2.9950 Å and the angles 90.00°, 90.00° and 120.00°. The distinct sites, in fractional coordinates, are Ce at (0.0000, 0.0000, 0.0000), Hf at (0.3333, 0.6667, 0.0000) and Cd at (0.6667, 0.3333, 0.5000).

***

(12)
Compound: Ce2HfCd
Source: Alexandria via LeMat-Bulk
Functional: PBE
Structure: optimized geometry

The value obtained for the density of states at the Fermi level is 8.84 states/eV/cell. The value obtained for the energy is -0.419 Ry/atom. The energy relative to the lowest polymorph listed for this composition is 0.00 kJ/mol of atoms.

The structure belongs to space group P4/mmm (No. 123); the cell edges are 3.159, 3.159 and 10.079 Å and the angles 90.00°, 90.00° and 90.00°. The distinct sites, in fractional coordinates, are Ce at (0.000, 0.000, 0.246), Hf at (0.500, 0.500, 0.000) and Cd at (0.500, 0.500, 0.500).

***

(13)
Compound: CeHf2Cd
Source: Alexandria via LeMat-Bulk
Functional: PBE
Structure: optimized geometry

The value obtained for the density of states at the Fermi level is 6.17 states/eV/cell. The value obtained for the energy is -0.486 Ry/atom. The energy relative to the lowest polymorph listed for this composition is 0.00 kJ/mol of atoms.

The structure belongs to space group P4/mmm (No. 123); the cell edges are 3.220, 3.220 and 9.024 Å and the angles 90.00°, 90.00° and 90.00°. The distinct sites, in fractional coordinates, are Ce at (0.000, 0.000, 0.000), Hf at (0.500, 0.500, 0.266) and Cd at (0.000, 0.000, 0.500).